[1]
{"formula": "LiZr2Ag2", "functional": "PBE", "state": "relaxed", "lattice": [[-7.4390, 3.1708, -3.0418], [-3.6460, -1.1164, 7.7528], [0.8242, 2.6748, 0.7728]], "species": ["Li", "Zr", "Zr", "Ag", "Li", "Ag", "Ag", "Zr", "Ag", "Zr"], "frac_coords": [[0.5000, 0.5000, 0.0000], [0.6314, 0.1314, 0.0000], [0.8686, 0.6314, 0.0000], [0.8349, 0.3349, 0.5000], [0.0000, 0.0000, 0.0000], [0.6651, 0.8349, 0.5000], [0.3349, 0.1651, 0.5000], [0.3686, 0.8686, 0.0000], [0.1651, 0.6651, 0.5000], [0.1314, 0.3686, 0.0000]]}

[2]
{"formula": "Li2ZrAg", "functional": "PBE", "state": "relaxed", "lattice": [[-1.5591, 0.9004, -4.8932], [0.0204, -1.4760, -5.0006], [-4.3848, -2.9157, 0.0275]], "species": ["Li", "Zr", "Li", "Ag"], "frac_coords": [[0.9892, 0.9892, 0.0241], [0.7500, 0.7500, 0.7500], [0.5108, 0.5108, 0.4759], [0.2500, 0.2500, 0.2500]]}

ΔH_f (0 K) per entry: 0.160, 0.071 eV/atom
Uncorrected energy per entry: -47.8, -14.9 eV for the cell shown
Polymorph energy (0 for the lowest one) per entry: 0.0444, 0.0377 eV per atom